Entry from the Alexandria database: a relaxed structure of CrCoW2 (GGA-PBE).

Values from the calculation:
For the formation energy, the calculation gives 0.21 eV/atom. As for the space-group type: C2/m (12). The electronic total energy is -0.384 Ha/atom. For the energy above the most stable polymorph in this dataset, the calculation gives 62 meV per atom. As for the spin magnetization: 1.93 μB/f.u.

Lattice parameters (Å, degrees): 5.150 4.938 2.651 80.19 79.15 118.10
Fractional positions:
W: 0.500 0.000 0.500
Co: 0.000 0.500 0.500
W: 0.000 0.000 0.000
Cr: 0.500 0.500 0.000